# YSc (meta-GGA SCAN, PBEsol geometry)
data_YSc
_cell_length_a 3.3318
_cell_length_b 12.2457
_cell_length_c 5.2792
_cell_angle_alpha 90.00
_cell_angle_beta 90.00
_cell_angle_gamma 90.00
_space_group_name_H-M_alt 'C m c m'
_space_group_IT_number 63
_space_group_name_Hall '-C 2c 2'
loop_
_atom_site_label
_atom_site_fract_x
_atom_site_fract_y
_atom_site_fract_z
_atom_site_occupancy
Y1 0.0000 0.0684 0.2500 1
Sc1 0.0000 0.3240 0.2500 1
# * formation energy from the elements: 0.21 eV/f.u.
# * E_tot: -20.937 eV/atom
# * total magnetization: 2.38 Bohr magnetons per cell